Here is crystalline LiHfHg at its relaxed geometry from the Open Quantum Materials Database. Energies are from GGA-PBE.

The structure in POSCAR format:
```
LiHfHg
1.0
0.0000 3.2288 3.2288
3.2288 0.0000 3.2288
3.2288 3.2288 0.0000
Hf Li Hg
1 1 1
Cartesian
1.6144 1.6144 1.6144
4.8432 4.8432 4.8432
0.0000 0.0000 0.0000
```

Calculated values
Raw total energy in eV/atom: -3.741
Offset from the most stable computed form in kJ/mol of formula units: 151

Here is crystalline Hf5Ge3 at its relaxed geometry from the Open Quantum Materials Database. Energies are from GGA-PBE.

The structure in POSCAR format:
```
Hf5Ge3
1.0
7.9817 0.0000 0.0000
-3.9908 6.9123 0.0000
0.0000 0.0000 5.5513
Hf Ge
10 6
Cartesian
-1.0039 1.7389 1.3878
2.9869 5.1735 1.3878
3.9908 2.3041 2.7757
1.0039 1.7388 4.1635
5.9738 0.0000 4.1635
2.0079 0.0000 1.3878
0.0000 4.6082 2.7757
-2.9869 5.1734 4.1635
0.0000 4.6082 0.0000
3.9908 2.3041 0.0000
-2.4339 4.2156 1.3878
4.8677 0.0000 1.3878
2.4339 4.2156 4.1635
3.1139 0.0000 4.1635
-1.5570 2.6967 4.1635
1.5570 2.6967 1.3879
```

Calculated values
Raw total energy in eV/atom: -8.634

Here is crystalline Cs3NaAs2Au2 at its relaxed geometry from the Open Quantum Materials Database. Energies are from GGA-PBE.

The structure in POSCAR format:
```
Cs3NaAs2Au2
1.0
6.6361 0.0000 0.0000
0.0000 6.5848 0.0000
-1.8748 0.0000 6.5133
As Cs Na Au
2 3 1 2
Cartesian
1.0428 3.2924 1.6793
3.6989 0.0000 4.4089
4.4143 3.2924 0.2647
0.3285 0.0000 6.3748
-1.2291 3.2924 4.4173
-0.3929 0.0000 2.5441
2.2732 4.9121 3.1821
2.2732 1.6728 3.1821
```

Calculated values
Raw total energy in eV/atom: -2.922

Here is crystalline Ta4Hg2PdSe12 at its relaxed geometry from the Open Quantum Materials Database. Energies are from GGA-PBE.

The structure in POSCAR format:
```
Ta4Hg2PdSe12
1.0
7.3183 -1.8050 0.0000
7.3183 1.8050 0.0000
-5.8199 0.0000 18.7157
Se Ta Hg Pd
12 4 2 1
Cartesian
7.9746 0.0000 4.9996
4.5149 0.0000 14.6871
7.7843 0.0000 16.4772
10.6073 0.0000 10.7847
12.5563 0.0000 1.3098
4.3018 0.0000 4.0285
6.9096 0.0000 10.8444
-3.7395 0.0000 17.4059
-1.7905 0.0000 7.9310
1.9071 0.0000 7.8712
1.0324 0.0000 2.2384
0.8421 0.0000 13.7161
1.4076 0.0000 10.3898
6.4924 0.0000 2.7613
7.4092 0.0000 8.3259
2.3243 0.0000 15.9543
-1.4420 0.0000 5.3654
10.2588 0.0000 13.3503
0.0000 0.0000 0.0000
```

Calculated values
Raw total energy in eV/atom: -5.459

Here is crystalline Ta2Ni2Pb3 at its relaxed geometry from the Open Quantum Materials Database. Energies are from GGA-PBE.

The structure in POSCAR format:
```
Ta2Ni2Pb3
1.0
-6.9396 3.7127 3.7127
-3.7127 3.7127 6.9396
-3.7127 6.9396 3.7127
Pb Ni Ta
3 2 2
Cartesian
-12.3306 12.3306 12.3306
-5.5873 5.5873 5.5873
-9.0268 9.0268 9.0268
-7.3338 7.3338 7.3338
-14.3470 14.3470 14.3470
-3.4758 3.4758 3.4758
-10.7458 10.7458 10.7458
```

Calculated values
Raw total energy in eV/atom: -5.681

Here is crystalline CsPdPt at its relaxed geometry from the Open Quantum Materials Database. Energies are from GGA-PBE.

The structure in POSCAR format:
```
CsPdPt
1.0
0.0000 3.4544 3.4544
3.4544 0.0000 3.4544
3.4544 3.4544 0.0000
Pd Cs Pt
1 1 1
Cartesian
1.7272 1.7272 1.7272
0.0000 0.0000 0.0000
5.1816 5.1816 5.1816
```

Calculated values
Raw total energy in eV/atom: -2.845
Offset from the most stable computed form in kJ/mol of formula units: 367